Entry 1:
DFT (PBE) results for an optimized crystal structure of ZrCo2Cl.

POSCAR file:
```
ZrCo2Cl
1.0
3.152 0.000 0.000
0.000 3.152 0.000
0.000 0.000 7.651
Zr Co Cl
1 2 1
direct
0.000 0.000 0.000
0.000 0.000 0.675
0.500 0.500 0.774
0.500 0.500 0.220
```

Values from the calculation:
VASP energy in eV per atom: -6.32
Total magnetization in μB per atom: 0.6280
DOS at the Fermi energy in states/eV per atom: 0.949



Entry 2:
DFT (PBE) results for an optimized crystal structure of Zr2CoCl.

POSCAR file:
```
Zr2CoCl
1.0
3.091 0.000 0.000
0.000 3.091 0.000
0.000 0.000 7.561
Zr Co Cl
2 1 1
direct
0.000 0.000 0.217
0.000 0.000 0.783
0.500 0.500 0.000
0.500 0.500 0.500
```

Values from the calculation:
VASP energy in eV per atom: -6.93
Total magnetization in μB per atom: 0.3006
DOS at the Fermi energy in states/eV per atom: 0.801



Entry 3:
DFT (PBE) results for an optimized crystal structure of ZrCo2Cl.

POSCAR file:
```
ZrCo2Cl
1.0
2.983 0.000 0.000
0.000 4.294 0.000
0.000 0.000 4.695
Zr Co Cl
1 2 1
direct
0.000 0.000 0.000
0.000 0.500 0.500
0.500 0.000 0.500
0.500 0.500 0.000
```

Values from the calculation:
VASP energy in eV per atom: -5.98
Total magnetization in μB per atom: 0.6693
DOS at the Fermi energy in states/eV per atom: 1.442



Entry 4:
DFT (PBE) results for an optimized crystal structure of ZrCoCl.

POSCAR file:
```
ZrCoCl
1.0
0.000 3.023 3.023
3.023 0.000 3.023
3.023 3.023 0.000
Zr Co Cl
1 1 1
direct
0.000 0.000 0.000
0.750 0.750 0.750
0.500 0.500 0.500
```

Values from the calculation:
VASP energy in eV per atom: -5.61
Total magnetization in μB per atom: 0.0007
DOS at the Fermi energy in states/eV per atom: 1.627



Entry 5:
DFT (PBE) results for an optimized crystal structure of ZrCoCl2.

POSCAR file:
```
ZrCoCl2
1.0
5.011 -1.647 0.000
5.011 1.647 0.000
-0.066 0.000 5.873
Zr Co Cl
1 1 2
direct
0.000 0.000 0.000
0.593 0.593 0.268
0.289 0.289 0.047
0.558 0.558 0.653
```

Values from the calculation:
VASP energy in eV per atom: -5.39
Total magnetization in μB per atom: 0.2502
DOS at the Fermi energy in states/eV per atom: 0.221



Entry 6:
DFT (PBE) results for an optimized crystal structure of ZrCo2Cl.

POSCAR file:
```
ZrCo2Cl
1.0
0.000 3.116 3.116
3.116 0.000 3.116
3.116 3.116 0.000
Zr Co Cl
1 2 1
direct
0.000 0.000 0.000
0.250 0.250 0.250
0.500 0.500 0.500
0.750 0.750 0.750
```

Values from the calculation:
VASP energy in eV per atom: -5.87
Total magnetization in μB per atom: 0.6114
DOS at the Fermi energy in states/eV per atom: 1.887



Entry 7:
DFT (PBE) results for an optimized crystal structure of ZrCo2Cl.

POSCAR file:
```
ZrCo2Cl
1.0
-1.680 2.335 3.981
1.680 -2.335 3.981
1.680 2.335 -3.981
Zr Co Cl
1 2 1
direct
0.000 0.000 0.000
0.303 0.803 0.500
0.500 0.500 0.000
0.712 0.212 0.500
```

Values from the calculation:
VASP energy in eV per atom: -5.95
Total magnetization in μB per atom: 0.6781
DOS at the Fermi energy in states/eV per atom: 1.458



Entry 8:
DFT (PBE) results for an optimized crystal structure of Zr6CoCl15.

POSCAR file:
```
Zr6CoCl15
1.0
-5.197 5.197 5.197
5.197 -5.197 5.197
5.197 5.197 -5.197
Zr Co Cl
6 1 15
direct
0.000 0.239 0.239
0.000 0.761 0.761
0.239 0.000 0.239
0.239 0.239 0.000
0.761 0.000 0.761
0.761 0.761 0.000
0.000 0.000 0.000
0.000 0.246 0.754
0.000 0.500 0.500
0.000 0.754 0.246
0.246 0.000 0.754
0.246 0.246 0.491
0.246 0.491 0.246
0.246 0.754 0.000
0.491 0.246 0.246
0.500 0.000 0.500
0.500 0.500 0.000
0.509 0.754 0.754
0.754 0.000 0.246
0.754 0.246 0.000
0.754 0.509 0.754
0.754 0.754 0.509
```

Values from the calculation:
VASP energy in eV per atom: -5.59
Total magnetization in μB per atom: 0.0000